The following is a GGA-PBEsol calculation of Sr3LiOs after structural relaxation, from Alexandria.

Symmetry: Pm-3m
Electronic total energy, eV per atom: -3.4822

Cell: 5.800 5.800 5.800 Å, 90.00 90.00 90.00°
Site moments in Bohr magnetons follow the coordinates.
Sites, in units of the cell vectors:
Sr  0.000  0.000  0.500  0.01
Os  0.000  0.000  0.000  0.56
Sr  0.000  0.500  0.000  0.01
Sr  0.500  0.000  0.000  0.01
Li  0.500  0.500  0.500  0.00

The following is a GGA-PBEsol calculation of NbOsSeBr2 after structural relaxation, from Alexandria.

Formation energy (no corrections), eV/atom: 1.09
Symmetry: P4/mmm

Cell: 4.639 5.058 5.058 Å, 90.00 90.00 90.00°
Site moments in Bohr magnetons follow the coordinates.
Sites, in units of the cell vectors:
Br  0.000  0.500  0.000  -0.04
Br  0.000  0.000  0.500  -0.04
Nb  0.500  0.500  0.500  2.74
Os  0.000  0.000  0.000  -0.06
Se  0.500  0.000  0.000  -0.08

The following is a GGA-PBEsol calculation of TaMnAu2 after structural relaxation, from Alexandria.

Symmetry: C2/m
Electronic total energy, eV per atom: -7.4090

Cell: 2.855 4.795 4.934 Å, 100.02 106.82 90.00°
Site moments in Bohr magnetons follow the coordinates.
Sites, in units of the cell vectors:
Ta  0.500  0.000  0.000  -0.33
Au  0.747  0.747  0.495  -0.01
Mn  0.000  0.500  0.000  2.91
Au  0.253  0.253  0.505  -0.01

The following is a GGA-PBEsol calculation of HfP2SI after structural relaxation, from Alexandria.

Formation energy (no corrections), eV/atom: 1.24
Symmetry: P4/mmm

Cell: 4.760 4.950 4.950 Å, 90.00 90.00 90.00°
Sites, in units of the cell vectors:
P  0.000  0.500  0.000
I  0.000  0.000  0.000
Hf  0.500  0.500  0.500
P  0.000  0.000  0.500
S  0.500  0.000  0.000

The following is a GGA-PBEsol calculation of LaZn2Tc after structural relaxation, from Alexandria.

Relative energy among the computed polymorphs, eV/f.u.: 0.00
Symmetry: Immm

Cell: 3.631 4.532 5.314 Å, 115.24 109.98 90.00°
Sites, in units of the cell vectors:
La  0.500  0.000  0.000
Tc  0.000  0.500  0.000
Zn  0.726  0.726  0.453
Zn  0.274  0.274  0.547

The following is a GGA-PBEsol calculation of GaSiNi2Ag after structural relaxation, from Alexandria.

Formation energy (no corrections), eV/atom: 1.25
Symmetry: P4/mmm

Cell: 4.532 4.595 4.595 Å, 90.00 90.00 90.00°
Site moments in Bohr magnetons follow the coordinates.
Sites, in units of the cell vectors:
Ga  0.500  0.000  0.000  0.01
Ag  0.000  0.000  0.000  0.00
Si  0.500  0.500  0.500  -0.01
Ni  0.000  0.500  0.000  0.26
Ni  0.000  0.000  0.500  0.26

The following is a GGA-PBEsol calculation of HfAs3Pb after structural relaxation, from Alexandria.

Symmetry: Pm-3m
Electronic total energy, eV per atom: -4.7080

Cell: 5.125 5.125 5.125 Å, 90.00 90.00 90.00°
Sites, in units of the cell vectors:
As  0.000  0.000  0.500
Pb  0.000  0.000  0.000
Hf  0.500  0.500  0.500
As  0.500  0.000  0.000
As  0.000  0.500  0.000

The following is a GGA-PBEsol calculation of MgSi2SnO6 after structural relaxation, from Alexandria.

Formation energy (no corrections), eV/atom: -2.48
Relative energy among the computed polymorphs, eV/f.u.: 0.00
Symmetry: Pbca

Cell: 5.374 9.097 19.243 Å, 90.00 90.00 90.00°
Sites, in units of the cell vectors:
O  0.294  0.665  0.930
Si  0.799  0.341  0.484
Si  0.701  0.341  0.984
O  0.934  0.732  0.542
O  0.243  0.002  0.947
O  0.434  0.268  0.958
Si  0.002  0.342  0.265
O  0.794  0.835  0.930
Sn  0.873  0.536  0.121
O  0.243  0.502  0.553
O  0.757  0.998  0.053
Si  0.998  0.658  0.735
O  0.241  0.238  0.290
Si  0.998  0.158  0.765
Si  0.498  0.842  0.735
Mg  0.372  0.849  0.374
O  0.527  0.661  0.320
Sn  0.127  0.464  0.879
Sn  0.873  0.036  0.379
O  0.027  0.339  0.180
O  0.743  0.498  0.947
O  0.977  0.502  0.695
O  0.741  0.762  0.210
O  0.206  0.665  0.430
O  0.257  0.502  0.053
O  0.757  0.498  0.447
O  0.759  0.762  0.710
O  0.027  0.839  0.320
O  0.206  0.165  0.070
O  0.523  0.502  0.195
O  0.066  0.768  0.042
O  0.794  0.335  0.570
O  0.706  0.835  0.430
O  0.023  0.498  0.305
O  0.566  0.232  0.458
O  0.977  0.002  0.805
Mg  0.628  0.651  0.874
O  0.434  0.768  0.542
O  0.934  0.232  0.958
O  0.473  0.339  0.680
O  0.706  0.335  0.070
Mg  0.128  0.349  0.626
O  0.259  0.738  0.710
Si  0.701  0.841  0.516
Mg  0.872  0.151  0.126
Mg  0.628  0.151  0.626
O  0.477  0.998  0.695
Si  0.502  0.658  0.235
Si  0.502  0.158  0.265
Sn  0.627  0.036  0.879
O  0.973  0.661  0.820
Si  0.498  0.342  0.765
Si  0.201  0.159  0.984
O  0.973  0.161  0.680
Mg  0.872  0.651  0.374
O  0.743  0.998  0.553
Sn  0.373  0.464  0.379
Sn  0.127  0.964  0.621
O  0.023  0.998  0.195
Si  0.299  0.159  0.484
Si  0.799  0.841  0.016
Si  0.002  0.842  0.235
O  0.759  0.262  0.790
O  0.473  0.839  0.820
Sn  0.373  0.964  0.121
O  0.257  0.002  0.447
O  0.523  0.002  0.305
O  0.294  0.165  0.570
Si  0.201  0.659  0.516
O  0.259  0.238  0.790
Mg  0.372  0.349  0.126
O  0.741  0.262  0.290
O  0.241  0.738  0.210
Mg  0.128  0.849  0.874
O  0.527  0.161  0.180
O  0.477  0.498  0.805
Sn  0.627  0.536  0.621
O  0.566  0.732  0.042
Si  0.299  0.659  0.016
O  0.066  0.268  0.458

The following is a GGA-PBEsol calculation of BeF2 after structural relaxation, from Alexandria.

Formation energy (no corrections), eV/atom: -3.25
Relative energy among the computed polymorphs, eV/f.u.: 0.01
Symmetry: R-3m

Cell: 8.934 8.934 8.934 Å, 94.47 94.47 94.47°
Sites, in units of the cell vectors:
F  0.326  0.022  0.022
F  0.261  0.000  0.739
Be  0.876  0.106  0.334
F  0.500  0.849  0.151
F  0.250  0.250  0.894
F  0.261  0.739  0.000
F  0.250  0.894  0.250
Be  0.876  0.334  0.106
Be  0.666  0.124  0.894
F  0.750  0.750  0.106
F  0.978  0.674  0.978
F  0.022  0.326  0.022
F  0.978  0.978  0.674
F  0.739  0.000  0.261
Be  0.334  0.106  0.876
Be  0.106  0.334  0.876
F  0.849  0.500  0.151
F  0.022  0.022  0.326
F  0.000  0.261  0.739
F  0.849  0.151  0.500
F  0.750  0.106  0.750
F  0.674  0.978  0.978
F  0.000  0.739  0.261
F  0.894  0.250  0.250
F  0.500  0.151  0.849
Be  0.124  0.666  0.894
F  0.739  0.261  0.000
Be  0.124  0.894  0.666
F  0.106  0.750  0.750
Be  0.894  0.124  0.666
Be  0.894  0.666  0.124
F  0.151  0.500  0.849
Be  0.334  0.876  0.106
Be  0.106  0.876  0.334
Be  0.666  0.894  0.124
F  0.151  0.849  0.500

The following is a GGA-PBEsol calculation of Li2ScPt after structural relaxation, from Alexandria.

Relative energy among the computed polymorphs, eV/f.u.: 0.17
Symmetry: P4/mmm

Cell: 3.736 3.736 4.747 Å, 90.00 90.00 90.00°
Sites, in units of the cell vectors:
Sc  0.000  0.000  0.500
Li  0.000  0.500  0.000
Pt  0.500  0.500  0.500
Li  0.500  0.000  0.000

The following is a GGA-PBEsol calculation of Li6VFe5O12 after structural relaxation, from Alexandria.

Formation energy (no corrections), eV/atom: -1.70
Symmetry: C2

Cell: 4.767 4.763 9.842 Å, 85.40 80.78 59.97°
Site moments in Bohr magnetons follow the coordinates.
Sites, in units of the cell vectors:
O  0.796  0.666  0.611  0.00
Li  0.738  0.341  0.752  0.00
O  0.969  0.664  0.109  0.00
Li  0.585  0.991  0.247  0.00
V  0.980  0.040  0.000  -0.61
Fe  0.679  0.643  0.000  0.22
O  0.464  0.333  0.612  0.01
Fe  0.835  0.330  0.500  1.00
Fe  0.167  0.665  0.500  1.01
Li  0.246  0.667  0.247  0.00
O  0.871  0.997  0.388  0.00
Fe  0.499  0.001  0.500  1.01
O  0.131  0.997  0.612  0.00
O  0.708  0.985  0.887  0.00
O  0.307  0.985  0.113  0.00
O  0.047  0.340  0.877  0.00
Li  0.424  0.991  0.753  0.00
O  0.613  0.340  0.123  0.00
Li  0.921  0.341  0.248  0.00
O  0.366  0.664  0.891  0.00
O  0.202  0.333  0.388  0.01
O  0.538  0.666  0.389  0.00
Li  0.087  0.667  0.753  0.00
Fe  0.341  0.318  0.000  0.39

The following is a GGA-PBEsol calculation of MgSe2O5 after structural relaxation, from Alexandria.

Formation energy (no corrections), eV/atom: -1.34
Symmetry: Pbcn

Cell: 6.010 6.840 10.406 Å, 90.00 90.00 90.00°
Sites, in units of the cell vectors:
O  0.548  0.845  0.433
Mg  0.750  0.000  0.561
Mg  0.750  0.500  0.061
O  0.665  0.805  0.709
Mg  0.250  0.500  0.939
Se  0.970  0.366  0.346
O  0.048  0.845  0.567
Se  0.030  0.634  0.654
O  0.452  0.345  0.067
O  0.952  0.155  0.433
O  0.548  0.655  0.933
Se  0.970  0.134  0.846
O  0.335  0.305  0.791
O  0.250  0.000  0.065
O  0.952  0.345  0.933
O  0.335  0.195  0.291
O  0.750  0.000  0.935
O  0.750  0.500  0.435
Se  0.530  0.866  0.846
Mg  0.250  0.000  0.439
O  0.165  0.695  0.791
O  0.250  0.500  0.565
Se  0.470  0.134  0.154
O  0.165  0.805  0.291
Se  0.530  0.634  0.346
Se  0.030  0.866  0.154
Se  0.470  0.366  0.654
O  0.048  0.655  0.067
O  0.452  0.155  0.567
O  0.835  0.305  0.209
O  0.835  0.195  0.709
O  0.665  0.695  0.209

Number 1: M_tot 0.139 μB per atom, D(E_F) 5.59 states/eV/f.u.. Number 2: M_tot 0.653 μB per atom, D(E_F) 5.12 states/eV/f.u.. Number 3: M_tot 0.636 μB per atom, D(E_F) 2.57 states/eV/f.u.. Number 4: M_tot 0.000 μB per atom, D(E_F) 2.47 states/eV/f.u.. Number 5: M_tot 0.000 μB per atom, D(E_F) 2.49 states/eV/f.u.. Number 6: M_tot 0.100 μB per atom, D(E_F) 6.56 states/eV/f.u.. Number 7: M_tot 0.000 μB per atom, D(E_F) 4.08 states/eV/f.u.. Number 8: M_tot 0.000 μB per atom, D(E_F) 0.00 states/eV/f.u.. Number 9: M_tot 0.000 μB per atom, D(E_F) 0.00 states/eV/f.u.. Number 10: M_tot 0.000 μB per atom, D(E_F) 1.90 states/eV/f.u.. Number 11: M_tot 0.125 μB per atom, D(E_F) 11.57 states/eV/f.u.. Number 12: M_tot 0.000 μB per atom, D(E_F) 0.00 states/eV/f.u..